This record from Alexandria via LeMat-Bulk describes a geometry-optimized SbMoAs2 structure. The functional is PBE-GGA.

```
SbMoAs2
1.0
-3.031 3.031 5.939
3.031 -3.031 5.939
3.031 3.031 -5.939
Sb Mo As
2 2 4
Direct
0.000 0.000 0.000
0.750 0.250 0.500
0.250 0.750 0.500
0.500 0.500 0.000
0.177 0.625 0.052
0.375 0.427 0.552
0.573 0.125 0.948
0.875 0.823 0.448
```

---

This record from Alexandria via LeMat-Bulk describes a geometry-optimized SbMo4As structure. The functional is PBE-GGA.

```
SbMo4As
1.0
0.000 3.764 3.764
3.764 0.000 3.764
3.764 3.764 0.000
Sb Mo As
1 4 1
Direct
0.000 0.000 0.000
0.376 0.376 0.376
0.376 0.376 0.871
0.376 0.871 0.376
0.871 0.376 0.376
0.750 0.750 0.750
```

---

This record from Alexandria via LeMat-Bulk describes a geometry-optimized Sb2MoAs structure. The functional is PBE-GGA.

```
Sb2MoAs
1.0
1.662 0.960 9.072
-1.662 0.960 9.072
0.000 -1.920 9.072
Sb Mo As
2 1 1
Direct
0.240 0.240 0.240
0.760 0.760 0.760
0.500 0.500 0.500
0.000 0.000 0.000
```

---

This record from Alexandria via LeMat-Bulk describes a geometry-optimized SbMo2As structure. The functional is PBE-GGA.

ΔE to the lowest computed polymorph   0.461 eV per atom

```
SbMo2As
1.0
3.294 0.000 0.000
0.000 4.187 0.000
0.000 0.000 5.191
Sb Mo As
1 2 1
Direct
0.000 0.000 0.000
0.000 0.500 0.500
0.500 0.500 0.000
0.500 0.000 0.500
```

---

This record from Alexandria via LeMat-Bulk describes a geometry-optimized Sb2MoAs structure. The functional is PBE-GGA.

```
Sb2MoAs
1.0
3.470 0.000 0.000
0.000 4.603 0.000
0.000 0.000 5.304
Sb Mo As
2 1 1
Direct
0.000 0.000 0.000
0.500 0.000 0.500
0.000 0.500 0.500
0.500 0.500 0.000
```

---

This record from Alexandria via LeMat-Bulk describes a geometry-optimized SbMoAs2 structure. The functional is PBE-GGA.

```
SbMoAs2
1.0
-2.123 2.123 4.256
2.123 -2.123 4.256
2.123 2.123 -4.256
Sb Mo As
1 1 2
Direct
0.000 0.000 0.000
0.750 0.250 0.500
0.250 0.750 0.500
0.500 0.500 0.000
```

---

This record from Alexandria via LeMat-Bulk describes a geometry-optimized SbMo2As structure. The functional is PBE-GGA.

ΔE to the lowest computed polymorph   0.423 eV per atom

```
SbMo2As
1.0
1.674 -2.603 0.000
1.674 2.603 0.000
0.000 0.000 8.230
Sb Mo As
1 2 1
Direct
0.000 0.000 0.000
0.500 0.500 0.272
0.500 0.500 0.728
0.000 0.000 0.500
```

---

This record from Alexandria via LeMat-Bulk describes a geometry-optimized SbMo2As structure. The functional is PBE-GGA.

ΔE to the lowest computed polymorph   0.368 eV per atom

```
SbMo2As
1.0
-1.653 2.597 4.161
1.653 -2.597 4.161
1.653 2.597 -4.161
Sb Mo As
1 2 1
Direct
0.000 0.000 0.000
0.277 0.777 0.500
0.723 0.223 0.500
0.500 0.500 0.000
```

---

no.,magnetic moment (Bohr magnetons per cell),E_tot (eV per atom),E_form (uncorrected) (eV per formula unit)
1,0.000,-5.648,1.66
2,0.000,-8.216,2.80
3,0.000,-5.637,1.18
4,0.000,-7.118,1.96
5,0.710,-5.316,2.46
6,1.151,-5.520,2.17
7,0.000,-7.156,1.81
8,0.000,-7.211,1.59